(1)
Compound: CrSb2Cl
Source: Alexandria
Functional: GGA-PBE
Structure: relaxed

a = 5.3296 Å, b = 5.3297 Å, c = 3.1956 Å
α = 90.00°, β = 90.00°, γ = 90.14°
Last column: nearest neighbours and their distance in Å.
Fractional coordinates of all 4 atoms:
Sb 0.0000 0.0000 0.0000  4 Cl 3.11, 4 Cr 3.11, 2 Sb 3.20
Sb 0.5000 0.5000 0.0000  4 Cr 3.11, 4 Cl 3.11, 2 Sb 3.20
Cr 0.0000 0.5000 0.5000  8 Sb 3.11, 2 Cr 3.20
Cl 0.5000 0.0000 0.5000  8 Sb 3.11, 2 Cl 3.20

Symmetry ... Cmmm (65)
Polymorph energy (0 for the lowest one) ... 1.537 eV per formula unit
Crystal system ... orthorhombic
ΔE_f (raw) ... 0.28 eV per atom

***

(2)
Compound: Cd8InAg5
Source: Alexandria
Functional: GGA-PBE
Structure: relaxed

a = 7.3857 Å, b = 7.3857 Å, c = 7.3857 Å
α = 113.24°, β = 102.16°, γ = 113.24°
Last column: nearest neighbours and their distance in Å.
Fractional coordinates of all 14 atoms:
Cd 0.1424 0.7376 0.0849  5 Ag 2.83-3.03, 1 In 2.89, 3 Cd 3.00-3.09
Cd 0.0758 0.7409 0.4768  4 Ag 2.88-2.98, 3 Cd 2.99-3.03
Cd 0.3473 0.2624 0.4048  5 Ag 2.83-3.03, 1 In 2.89, 3 Cd 3.00-3.09
Cd 0.9151 0.0575 0.6527  5 Ag 2.83-3.03, 1 In 2.89, 3 Cd 3.00-3.09
Cd 0.7360 0.2591 0.3349  4 Ag 2.88-2.98, 3 Cd 2.99-3.03
Cd 0.6651 0.4011 0.9242  4 Ag 2.88-2.98, 3 Cd 2.99-3.03
Cd 0.5952 0.9425 0.8576  5 Ag 2.83-3.03, 1 In 2.89, 3 Cd 3.00-3.09
Cd 0.5232 0.5989 0.2640  4 Ag 2.88-2.98, 3 Cd 2.99-3.03
Ag 0.2770 0.0864 0.9466  7 Cd 2.93-3.03, 2 Ag 3.05
Ag 0.0534 0.3304 0.1398  7 Cd 2.93-3.03, 2 Ag 3.05
Ag 0.8093 0.6696 0.7230  7 Cd 2.93-3.03, 2 Ag 3.05
Ag 0.5000 0.0000 0.5000  8 Cd 2.83-2.88
Ag 0.8602 0.9136 0.1907  7 Cd 2.93-3.03, 2 Ag 3.05
In 0.2500 0.5000 0.7500  4 Cd 2.89

Symmetry ... I-4 (82)
Energy of formation ... 0.044 eV per atom
Crystal system ... tetragonal

***

(3)
Compound: Y2TlHg
Source: Alexandria
Functional: GGA-PBE
Structure: relaxed

a = 7.1862 Å, b = 7.1862 Å, c = 7.1862 Å
α = 56.93°, β = 151.83°, γ = 131.62°
Last column: nearest neighbours and their distance in Å.
Fractional coordinates of all 4 atoms:
Hg 0.0000 0.0000 0.0000  2 Y 3.05
Tl 0.0000 0.5000 0.5000  2 Y 3.27, 4 Hg 3.42, 2 Tl 3.50
Y 0.0000 0.7589 0.7589  1 Hg 3.05, 1 Tl 3.27
Y 0.0000 0.2411 0.2411  1 Hg 3.05, 1 Tl 3.27

Symmetry ... Immm (71)
Energy of formation ... 0.212 eV per atom
Crystal system ... orthorhombic

***

(4)
Compound: Tb5PrRu4
Source: Alexandria
Functional: GGA-PBE
Structure: relaxed

a = 3.4269 Å, b = 3.4269 Å, c = 19.4444 Å
α = 90.00°, β = 90.00°, γ = 90.00°
Last column: nearest neighbours and their distance in Å.
Fractional coordinates of all 10 atoms:
Ru 0.0000 0.0000 0.5879  8 Tb 2.95-2.97
Ru 0.0000 0.0000 0.4121  8 Tb 2.95-2.97
Ru 0.0000 0.0000 0.7676  8 Tb 2.89-3.03
Ru 0.0000 0.0000 0.2324  8 Tb 2.89-3.03
Tb 0.5000 0.5000 0.1512  4 Ru 2.89
Tb 0.5000 0.5000 0.5000  8 Ru 2.97
Tb 0.5000 0.5000 0.8488  4 Ru 2.89
Tb 0.5000 0.5000 0.3255  8 Ru 2.95-3.03
Tb 0.5000 0.5000 0.6745  8 Ru 2.95-3.03
Pr 0.0000 0.0000 0.0000  4 Pr 3.43, 8 Tb 3.81

Symmetry ... P4/mmm (123)
Energy of formation ... -0.260 eV per atom
Crystal system ... tetragonal

***

(5)
Compound: CdPAu
Source: Alexandria
Functional: GGA-PBE
Structure: relaxed

a = 4.3242 Å, b = 5.0366 Å, c = 6.1336 Å
α = 71.52°, β = 86.54°, γ = 82.03°
Last column: nearest neighbours and their distance in Å.
Fractional coordinates of all 6 atoms:
Au 0.4804 0.7639 0.6926  2 P 2.48-2.58
Au 0.5196 0.2361 0.3074  2 P 2.48-2.58
Cd 0.1005 0.8214 0.3202  1 P 2.61, 1 Au 2.81
Cd 0.8995 0.1786 0.6798  1 P 2.61, 1 Au 2.81
P 0.8042 0.6220 0.0604  1 P 2.19
P 0.1958 0.3780 0.9396  1 P 2.19

Symmetry ... P-1 (2)
Energy of formation ... -0.023 eV per atom
Crystal system ... triclinic

***

(6)
Compound: LiDySi2Pt2
Source: Alexandria
Functional: GGA-PBE
Structure: relaxed

a = 4.2091 Å, b = 4.2091 Å, c = 6.5829 Å
α = 90.00°, β = 90.00°, γ = 120.00°
Last column: nearest neighbours and their distance in Å.
Fractional coordinates of all 6 atoms:
Li 0.0000 0.0000 0.5000  6 Si 2.74, 6 Pt 2.77
Dy 0.0000 0.0000 0.0000  6 Pt 3.12, 6 Si 3.16, 2 Li 3.29
Pt 0.3333 0.6667 0.7034  4 Si 2.43-2.61
Pt 0.6667 0.3333 0.2966  4 Si 2.43-2.61
Si 0.6667 0.3333 0.6928  4 Pt 2.43-2.61
Si 0.3333 0.6667 0.3072  4 Pt 2.43-2.61

Symmetry ... P-3m1 (164)
Crystal system ... trigonal
ΔE_f (raw) ... -0.98 eV per atom

***

(7)
Compound: VFeCuNi
Source: Alexandria
Functional: GGA-PBE
Structure: relaxed

a = 4.0188 Å, b = 4.0188 Å, c = 4.0188 Å
α = 60.00°, β = 60.00°, γ = 60.00°
Last column: nearest neighbours and their distance in Å.
Fractional coordinates of all 4 atoms:
Fe 0.0000 0.0000 0.0000  4 Cu 2.46, 4 V 2.46
Ni 0.5000 0.5000 0.5000  4 V 2.46, 4 Cu 2.46
V 0.7500 0.7500 0.7500  4 Ni 2.46, 4 Fe 2.46
Cu 0.2500 0.2500 0.2500  4 Fe 2.46, 4 Ni 2.46

Symmetry ... F-43m (216)
Energy of formation ... 0.008 eV per atom
Crystal system ... cubic

***

(8)
Compound: TbPm2DyEr2
Source: Alexandria
Functional: GGA-PBE
Structure: relaxed

a = 3.3851 Å, b = 6.5326 Å, c = 17.9768 Å
α = 90.00°, β = 90.00°, γ = 90.00°
Last column: nearest neighbours and their distance in Å.
Fractional coordinates of all 12 atoms:
Dy 0.0000 0.0000 0.5000  2 Dy 3.39, 4 Er 3.44, 4 Tb 3.68
Dy 0.5000 0.5000 0.0000  2 Dy 3.39, 4 Er 3.44, 4 Tb 3.68
Er 0.5000 0.2234 0.6453  1 Tb 3.18, 4 Pm 3.34-3.46, 2 Er 3.39, 2 Dy 3.44
Er 0.0000 0.2766 0.1453  1 Tb 3.18, 4 Pm 3.34-3.46, 2 Er 3.39, 2 Dy 3.44
Er 0.5000 0.7766 0.3547  1 Tb 3.18, 4 Pm 3.34-3.46, 2 Er 3.39, 2 Dy 3.44
Er 0.0000 0.7234 0.8547  1 Tb 3.18, 4 Pm 3.34-3.46, 2 Er 3.39, 2 Dy 3.44
Pm 0.0000 0.7744 0.1871  4 Er 3.34-3.46, 2 Pm 3.39, 1 Tb 3.67
Pm 0.5000 0.7256 0.6871  4 Er 3.34-3.46, 2 Pm 3.39, 1 Tb 3.67
Pm 0.5000 0.2744 0.3129  4 Er 3.34-3.46, 2 Pm 3.39, 1 Tb 3.67
Pm 0.0000 0.2256 0.8129  4 Er 3.34-3.46, 2 Pm 3.39, 1 Tb 3.67
Tb 0.5000 0.5000 0.5000  2 Er 3.18, 2 Tb 3.39
Tb 0.0000 0.0000 0.0000  2 Er 3.18, 2 Tb 3.39

Symmetry ... Pnnm (58)
Energy of formation ... 0.269 eV per atom
Crystal system ... orthorhombic

***

Record-wise ρ values, in g cm⁻³: 6.05, 8.42, 7.44, 9.74, 9.01, 10.12, 8.29, 7.90